This record from Alexandria describes a PBEsol-optimized structure of LiMg2Ir. The functional is meta-GGA SCAN.

abc: 6.2958 6.2958 6.2958
angles: 90.00 90.00 90.00
Last column: nearest neighbours and their distance in Å.
Space group Fm-3m (No. 225)
Symmetry-distinct sites (fractional):
Li 0.0000 0.0000 0.0000 x4  8 Mg 2.73
Mg 0.2500 0.2500 0.2500 x8  4 Li 2.73, 4 Ir 2.73
Ir 0.0000 0.0000 0.5000 x4  8 Mg 2.73

* total moment: 0.000 μB per cell
* DFT formation energy: -0.446 eV/atom


This record from Alexandria describes a PBEsol-optimized structure of CaTlCd2. The functional is meta-GGA SCAN.

abc: 10.2508 3.6957 5.6037
angles: 90.00 108.18 90.00
Last column: nearest neighbours and their distance in Å.
Space group Cm (No. 8)
Symmetry-distinct sites (fractional):
Ca 0.0000 0.0000 0.0000 x2  3 Tl 3.17-3.20, 7 Cd 3.25-3.42
Tl 0.2621 0.5000 0.2501 x2  4 Cd 3.06-3.25, 3 Ca 3.17-3.20
Cd 0.0013 0.5000 0.5153 x2  3 Cd 2.97-3.21, 2 Tl 3.06, 2 Ca 3.29
Cd 0.2379 0.0000 0.7106 x2  3 Cd 2.97-3.21, 2 Tl 3.25, 3 Ca 3.25-3.32

* distance to the lowest polymorph of the same formula: 0.27 eV per formula unit
* total moment: 0.000 μB per cell
* DFT formation energy: -0.225 eV/atom


This record from Alexandria describes a PBEsol-optimized structure of ScCo2Si. The functional is meta-GGA SCAN.

abc: 2.7878 2.7878 23.9405
angles: 90.00 90.00 120.00
Last column: nearest neighbours and their distance in Å.
Space group R3m (No. 160, hexagonal axes)
Symmetry-distinct sites (fractional):
Sc 0.0000 0.0000 0.0000 x3  3 Co 2.64, 6 Sc 2.79, 3 Si 2.87
Co 0.0000 0.0000 0.4974 x3  3 Si 2.32, 3 Co 2.44
Co 0.0000 0.0000 0.7540 x3  3 Co 2.44, 3 Sc 2.64
Si 0.0000 0.0000 0.2340 x3  3 Co 2.32

* energy relative to the elements, uncorrected: 0.72 eV/f.u.
* total moment: 9.952 μB per cell


| no. | E_tot (eV per atom) |
| --- | --- |
| 1 | -21.3048 |
| 2 | -35.9372 |
| 3 | -14.5355 |